1.
Material: AcPuAu
Method: DFT, GGA-PBE
State: relaxed

abc: 5.095 5.095 4.019
angles: 90.00 90.00 120.00
Element x y z (fractional)
1 Ac 0.000 0.000 0.000
2 Pu 0.667 0.333 0.461
3 Au 0.333 0.667 0.571

Properties
energy above the most stable polymorph in this dataset = 70 meV/atom
calculated formation energy = -18 kJ/mol of atoms

***

2.
Material: AcPuAu
Method: DFT, GGA-PBE
State: relaxed

abc: 6.815 6.815 6.815
angles: 147.41 147.41 46.75
Element x y z (fractional)
1 Ac 0.000 0.000 0.000
2 Pu 0.286 0.286 0.000
3 Au 0.661 0.661 0.000

Properties
energy above the most stable polymorph in this dataset = 0 meV/atom
calculated formation energy = -25 kJ/mol of atoms

***

3.
Material: AcPu2Au4
Method: DFT, GGA-PBE
State: relaxed

abc: 5.291 5.291 6.854
angles: 90.00 90.00 90.00
Element x y z (fractional)
1 Ac 0.000 0.000 0.000
2 Pu 0.000 0.000 0.500
3 Pu 0.500 0.500 0.000
4 Au 0.000 0.500 0.273
5 Au 0.000 0.500 0.727
6 Au 0.500 0.000 0.273
7 Au 0.500 0.000 0.727

Properties
calculated formation energy = -30 kJ/mol of atoms

***

4.
Material: Ac2PuAu4
Method: DFT, GGA-PBE
State: relaxed

abc: 5.394 5.394 7.226
angles: 90.00 90.00 90.00
Element x y z (fractional)
1 Ac 0.000 0.000 0.000
2 Ac 0.500 0.500 0.500
3 Pu 0.000 0.000 0.500
4 Au 0.000 0.500 0.264
5 Au 0.000 0.500 0.736
6 Au 0.500 0.000 0.264
7 Au 0.500 0.000 0.736

Properties
calculated formation energy = -52 kJ/mol of atoms

***

5.
Material: AcPu3Au4
Method: DFT, GGA-PBE
State: relaxed

abc: 10.461 7.488 5.228
angles: 90.00 90.00 90.00
Element x y z (fractional)
1 Ac 0.000 0.000 0.000
2 Ac 0.500 0.000 0.000
3 Pu 0.000 0.500 0.000
4 Pu 0.250 0.000 0.499
5 Pu 0.250 0.500 0.498
6 Pu 0.500 0.500 0.000
7 Pu 0.750 0.000 0.501
8 Pu 0.750 0.500 0.502
9 Au 0.000 0.261 0.500
10 Au 0.000 0.739 0.500
11 Au 0.250 0.261 0.998
12 Au 0.250 0.739 0.998
13 Au 0.500 0.261 0.500
14 Au 0.500 0.739 0.500
15 Au 0.750 0.261 0.002
16 Au 0.750 0.739 0.002

Properties
calculated formation energy = -45 kJ/mol of atoms

***

6.
Material: AcPuAu
Method: DFT, GGA-PBE
State: relaxed

abc: 5.239 5.239 5.239
angles: 60.00 60.00 60.00
Element x y z (fractional)
1 Ac 0.000 0.000 0.000
2 Pu 0.500 0.500 0.500
3 Au 0.750 0.750 0.750

Properties
energy above the most stable polymorph in this dataset = 115 meV/atom
calculated formation energy = -14 kJ/mol of atoms

***

7.
Material: Ac2Pu2Au15
Method: DFT, GGA-PBE
State: relaxed

abc: 7.562 7.562 7.562
angles: 79.63 79.63 79.63
Element x y z (fractional)
1 Ac 0.154 0.154 0.154
2 Ac 0.846 0.846 0.846
3 Pu 0.407 0.407 0.407
4 Pu 0.593 0.593 0.593
5 Au 0.000 0.500 0.500
6 Au 0.139 0.139 0.652
7 Au 0.139 0.652 0.139
8 Au 0.199 0.500 0.801
9 Au 0.199 0.801 0.500
10 Au 0.348 0.861 0.861
11 Au 0.500 0.000 0.500
12 Au 0.500 0.199 0.801
13 Au 0.500 0.500 0.000
14 Au 0.500 0.801 0.199
15 Au 0.652 0.139 0.139
16 Au 0.801 0.199 0.500
17 Au 0.801 0.500 0.199
18 Au 0.861 0.348 0.861
19 Au 0.861 0.861 0.348

Properties
calculated formation energy = -36 kJ/mol of atoms

***

8.
Material: AcPuRhAu
Method: DFT, GGA-PBE
State: relaxed

abc: 5.210 5.210 5.210
angles: 60.00 60.00 60.00
Element x y z (fractional)
1 Ac 0.000 0.000 0.000
2 Pu 0.500 0.500 0.500
3 Rh 0.250 0.250 0.250
4 Au 0.750 0.750 0.750

Properties
calculated formation energy = -43 kJ/mol of atoms

***

Please write out number 5 again, unchanged.
Material: AcPu3Au4
Method: DFT, GGA-PBE
State: relaxed

abc: 10.461 7.488 5.228
angles: 90.00 90.00 90.00
Element x y z (fractional)
1 Ac 0.000 0.000 0.000
2 Ac 0.500 0.000 0.000
3 Pu 0.000 0.500 0.000
4 Pu 0.250 0.000 0.499
5 Pu 0.250 0.500 0.498
6 Pu 0.500 0.500 0.000
7 Pu 0.750 0.000 0.501
8 Pu 0.750 0.500 0.502
9 Au 0.000 0.261 0.500
10 Au 0.000 0.739 0.500
11 Au 0.250 0.261 0.998
12 Au 0.250 0.739 0.998
13 Au 0.500 0.261 0.500
14 Au 0.500 0.739 0.500
15 Au 0.750 0.261 0.002
16 Au 0.750 0.739 0.002

Properties
calculated formation energy = -45 kJ/mol of atoms